[1]
Computed, not measured: an optimized crystal structure of VSiTc2H at the PBE level of DFT.

Properties
magnetization = 0.012 μB per atom
space group = P4/mmm (123)
DOS(E_F) = 2.2 states/eV per cell
theoretical density = 8.10 g/cm3
electronic total energy = -7.9141 eV per atom

Unit cell a=4.1243 b=4.1243 c=3.3271 alpha=90.00 beta=90.00 gamma=90.00
Last column: nearest neighbours and their distance in Å.
Element x y z (fractional)
H1 0.0000 0.0000 0.0000  2 V 1.66
Si1 0.5000 0.5000 0.5000  8 Tc 2.65, 4 V 2.92
Tc1 0.0000 0.5000 0.0000  2 H 2.06
Tc2 0.5000 0.0000 0.0000  2 H 2.06
V1 0.0000 0.0000 0.5000  2 H 1.66

---

[2]
Computed, not measured: an optimized crystal structure of CdBiSb at the PBE level of DFT.

Properties
magnetization = 0.000 μB per atom
space group = Immm (71)
DOS(E_F) = 3.8 states/eV per cell
relative energy among the computed polymorphs = 11.8 meV/atom
theoretical density = 8.42 g/cm3
electronic total energy = -2.9124 eV per atom

Unit cell a=5.5611 b=10.1342 c=6.1993 alpha=90.00 beta=90.00 gamma=90.00
Last column: nearest neighbours and their distance in Å.
Element x y z (fractional)
Sb1 0.0000 0.6720 0.5000  4 Cd 3.10-3.23, 3 Bi 3.28-3.32
Sb2 0.0000 0.3280 0.5000  4 Cd 3.10-3.23, 3 Bi 3.28-3.32
Sb3 0.5000 0.1720 0.0000  4 Cd 3.10-3.23, 3 Bi 3.28-3.32
Sb4 0.5000 0.8280 0.0000  4 Cd 3.10-3.23, 3 Bi 3.28-3.32
Bi1 0.5000 0.5000 0.0000  2 Bi 3.10, 4 Cd 3.25, 2 Sb 3.32
Bi2 0.0000 0.0000 0.5000  2 Bi 3.10, 4 Cd 3.25, 2 Sb 3.32
Bi3 0.0000 0.0000 0.0000  2 Bi 3.10, 4 Sb 3.28, 2 Cd 3.39
Bi4 0.5000 0.5000 0.5000  2 Bi 3.10, 4 Sb 3.28, 2 Cd 3.39
Cd1 0.0000 0.3347 0.0000  4 Sb 3.10-3.23, 3 Bi 3.25-3.39, 1 Cd 3.35
Cd2 0.0000 0.6653 0.0000  4 Sb 3.10-3.23, 3 Bi 3.25-3.39, 1 Cd 3.35
Cd3 0.5000 0.8347 0.5000  4 Sb 3.10-3.23, 3 Bi 3.25-3.39, 1 Cd 3.35
Cd4 0.5000 0.1653 0.5000  4 Sb 3.10-3.23, 3 Bi 3.25-3.39, 1 Cd 3.35

---

[3]
Computed, not measured: an optimized crystal structure of Li2SmCdAu4 at the PBE level of DFT.

Properties
DFT formation energy = -0.53 eV/atom
magnetization = 0.000 μB per atom
space group = R-3m (166)
DOS(E_F) = 3.8 states/eV per cell
theoretical density = 11.05 g/cm3
electronic total energy = -3.3542 eV per atom

Unit cell a=4.5876 b=4.5876 c=9.1688 alpha=75.51 beta=75.51 gamma=60.00
Last column: nearest neighbours and their distance in Å.
Element x y z (fractional)
Li1 0.7641 0.7641 0.7078  6 Au 2.71-2.83
Li2 0.2359 0.2359 0.2922  6 Au 2.71-2.83
Sm1 0.0000 0.0000 0.0000  8 Au 3.08-3.12
Cd1 0.5000 0.5000 0.5000  8 Au 2.83-2.94
Au1 0.3927 0.3927 0.8219  1 Cd 2.83, 3 Li 2.83, 3 Au 3.07, 3 Sm 3.08
Au2 0.8815 0.8815 0.3555  3 Li 2.71, 3 Cd 2.94
Au3 0.1185 0.1185 0.6445  3 Li 2.71, 3 Cd 2.94
Au4 0.6073 0.6073 0.1781  1 Cd 2.83, 3 Li 2.83, 3 Au 3.07, 3 Sm 3.08

---

[4]
Computed, not measured: an optimized crystal structure of LiTbCdPb at the PBE level of DFT.

Properties
DFT formation energy = -0.36 eV/atom
magnetization = 0.000 μB per atom
space group = F-43m (216)
DOS(E_F) = 1.3 states/eV per cell
relative energy among the computed polymorphs = 0.0 meV/atom
theoretical density = 8.21 g/cm3
electronic total energy = -3.1561 eV per atom

Unit cell a=5.1785 b=5.1785 c=5.1785 alpha=60.00 beta=60.00 gamma=60.00
Last column: nearest neighbours and their distance in Å.
Element x y z (fractional)
Pb1 0.2500 0.2500 0.2500  4 Tb 3.17, 4 Li 3.17
Li1 0.0000 0.0000 0.0000  4 Cd 3.17, 4 Pb 3.17
Tb1 0.5000 0.5000 0.5000  4 Cd 3.17, 4 Pb 3.17
Cd1 0.7500 0.7500 0.7500  4 Tb 3.17, 4 Li 3.17

---

[5]
Computed, not measured: an optimized crystal structure of Ta2Be9Tc at the PBE level of DFT.

Properties
DFT formation energy = -0.22 eV/atom
magnetization = 0.000 μB per atom
space group = P6_3/mmc (194)
DOS(E_F) = 7.6 states/eV per cell
theoretical density = 7.40 g/cm3
electronic total energy = -5.8541 eV per atom

Unit cell a=4.4906 b=4.4906 c=13.8987 alpha=90.00 beta=90.00 gamma=120.00
Last column: nearest neighbours and their distance in Å.
Element x y z (fractional)
Ta1 0.3333 0.6667 0.5384  12 Be 2.58-2.66, 3 Ta 2.80
Ta2 0.6667 0.3333 0.0384  12 Be 2.58-2.66, 3 Ta 2.80
Ta3 0.6667 0.3333 0.4616  12 Be 2.58-2.66, 3 Ta 2.80
Ta4 0.3333 0.6667 0.9616  12 Be 2.58-2.66, 3 Ta 2.80
Be1 0.0000 0.0000 0.0000  6 Be 2.22
Be2 0.0000 0.0000 0.5000  6 Be 2.22
Be3 0.0000 0.0000 0.2500  6 Be 2.13
Be4 0.0000 0.0000 0.7500  6 Be 2.13
Be5 0.3333 0.6667 0.2500  6 Be 2.11
Be6 0.6667 0.3333 0.7500  6 Be 2.11
Be7 0.1678 0.3356 0.1293  7 Be 2.11-2.26
Be8 0.6644 0.8322 0.1293  7 Be 2.11-2.26
Be9 0.1678 0.8322 0.1293  7 Be 2.11-2.26
Be10 0.8322 0.6644 0.6293  7 Be 2.11-2.26
Be11 0.3356 0.1678 0.6293  7 Be 2.11-2.26
Be12 0.8322 0.1678 0.6293  7 Be 2.11-2.26
Be13 0.3356 0.1678 0.8707  7 Be 2.11-2.26
Be14 0.8322 0.6644 0.8707  7 Be 2.11-2.26
Be15 0.8322 0.1678 0.8707  7 Be 2.11-2.26
Be16 0.6644 0.8322 0.3707  7 Be 2.11-2.26
Be17 0.1678 0.3356 0.3707  7 Be 2.11-2.26
Be18 0.1678 0.8322 0.3707  7 Be 2.11-2.26
Tc1 0.3333 0.6667 0.7500  18 Be 2.59-2.80
Tc2 0.6667 0.3333 0.2500  18 Be 2.59-2.80

---

[6]
Computed, not measured: an optimized crystal structure of Dy5Er12Th at the PBE level of DFT.

Properties
DFT formation energy = 0.03 eV/atom
magnetization = 0.000 μB per atom
space group = C2/m (12)
DOS(E_F) = 25.7 states/eV per cell
theoretical density = 9.11 g/cm3
electronic total energy = -4.7073 eV per atom

Unit cell a=10.5634 b=10.5607 c=6.1050 alpha=73.32 beta=90.00 gamma=59.99
Last column: nearest neighbours and their distance in Å.
Element x y z (fractional)
Dy1 0.5000 0.0000 0.5000  10 Er 3.52-3.53, 2 Dy 3.53
Dy2 0.1659 0.6680 0.4953  10 Er 3.49-3.55, 1 Th 3.50, 1 Dy 3.55
Dy3 0.8341 0.3320 0.5047  10 Er 3.49-3.55, 1 Th 3.50, 1 Dy 3.55
Dy4 0.6668 0.6663 0.0006  10 Er 3.52-3.53, 2 Dy 3.53-3.55
Dy5 0.3332 0.3337 0.9994  10 Er 3.52-3.53, 2 Dy 3.53-3.55
Er1 0.8343 0.0000 0.5000  7 Er 3.50-3.53, 3 Dy 3.51-3.53, 2 Th 3.52
Er2 0.1657 0.0000 0.5000  7 Er 3.50-3.53, 3 Dy 3.51-3.53, 2 Th 3.52
Er3 0.6686 0.0000 0.9999  7 Er 3.50-3.56, 1 Th 3.50, 4 Dy 3.53
Er4 0.3315 0.0000 0.0001  7 Er 3.50-3.56, 1 Th 3.50, 4 Dy 3.53
Er5 0.3327 0.6678 0.0007  4 Dy 3.50-3.55, 7 Er 3.50-3.54, 1 Th 3.51
Er6 0.9993 0.6678 0.0009  4 Dy 3.49-3.55, 7 Er 3.50-3.54, 1 Th 3.51
Er7 0.0007 0.3322 0.9991  4 Dy 3.49-3.55, 7 Er 3.50-3.54, 1 Th 3.51
Er8 0.6673 0.3322 0.9993  4 Dy 3.50-3.55, 7 Er 3.50-3.54, 1 Th 3.51
Er9 0.4994 0.3337 0.5005  7 Er 3.51-3.54, 5 Dy 3.52-3.53
Er10 0.8330 0.6663 0.4997  7 Er 3.51-3.54, 5 Dy 3.52-3.53
Er11 0.1670 0.3337 0.5003  7 Er 3.51-3.54, 5 Dy 3.52-3.53
Er12 0.5006 0.6663 0.4995  7 Er 3.51-3.54, 5 Dy 3.52-3.53
Th1 0.0000 0.0000 0.0000  10 Er 3.50-3.52, 2 Dy 3.50

---

[7]
Computed, not measured: an optimized crystal structure of Tb2InGa2Pd5 at the PBE level of DFT.

Properties
DFT formation energy = -0.74 eV/atom
magnetization = 0.000 μB per atom
space group = P4/mbm (127)
DOS(E_F) = 13.3 states/eV per cell
theoretical density = 9.85 g/cm3
electronic total energy = -5.1421 eV per atom

Unit cell a=3.7705 b=9.9381 c=9.9381 alpha=90.00 beta=90.00 gamma=90.00
Last column: nearest neighbours and their distance in Å.
Element x y z (fractional)
Tb1 0.0000 0.6760 0.1760  3 Ga 2.84-3.01, 2 Pd 3.11
Tb2 0.0000 0.3240 0.8240  3 Ga 2.84-3.01, 2 Pd 3.11
Tb3 0.0000 0.1760 0.3240  3 Ga 2.84-3.01, 2 Pd 3.11
Tb4 0.0000 0.8240 0.6760  3 Ga 2.84-3.01, 2 Pd 3.11
In1 0.0000 0.0000 0.0000  8 Pd 2.89
In2 0.0000 0.5000 0.5000  8 Pd 2.89
Ga1 0.0000 0.1220 0.6220  6 Pd 2.55-2.58, 1 Tb 2.84
Ga2 0.0000 0.8780 0.3780  6 Pd 2.55-2.58, 1 Tb 2.84
Ga3 0.0000 0.6220 0.8780  6 Pd 2.55-2.58, 1 Tb 2.84
Ga4 0.0000 0.3780 0.1220  6 Pd 2.55-2.58, 1 Tb 2.84
Pd1 0.5000 0.2103 0.0640  2 Ga 2.58, 2 In 2.89
Pd2 0.5000 0.7897 0.9360  2 Ga 2.58, 2 In 2.89
Pd3 0.5000 0.0640 0.7897  2 Ga 2.58, 2 In 2.89
Pd4 0.5000 0.7103 0.4360  2 Ga 2.58, 2 In 2.89
Pd5 0.5000 0.9360 0.2103  2 Ga 2.58, 2 In 2.89
Pd6 0.5000 0.2897 0.5640  2 Ga 2.58, 2 In 2.89
Pd7 0.5000 0.5640 0.7103  2 Ga 2.58, 2 In 2.89
Pd8 0.5000 0.4360 0.2897  2 Ga 2.58, 2 In 2.89
Pd9 0.5000 0.5000 0.0000  4 Ga 2.55
Pd10 0.5000 0.0000 0.5000  4 Ga 2.55

---

[8]
Computed, not measured: an optimized crystal structure of FeSiHg2 at the PBE level of DFT.

Properties
magnetization = 0.297 μB per atom
space group = I4_1/amd (141)
DOS(E_F) = 6.6 states/eV per cell
theoretical density = 7.27 g/cm3
electronic total energy = -3.2052 eV per atom

Unit cell a=10.0959 b=10.0959 c=7.4627 alpha=47.43 beta=47.43 gamma=90.00
Last column: nearest neighbours and their distance in Å.
Element x y z (fractional)
Si1 0.5000 0.5000 0.0000  2 Fe 2.17
Si2 0.2500 0.7500 0.5000  2 Fe 2.17
Hg1 0.8745 0.1250 0.2500  2 Fe 2.58
Hg2 0.8755 0.6250 0.2500  2 Fe 2.58
Hg3 0.3750 0.1255 0.7500  2 Fe 2.58
Hg4 0.8750 0.1245 0.7500  2 Fe 2.58
Fe1 0.0000 0.0000 0.0000  2 Si 2.17
Fe2 0.7500 0.2500 0.5000  2 Si 2.17